DFT (PBE) results for crystalline InB2Ru2 at its relaxed geometry.

a = 6.378 Å, b = 6.378 Å, c = 2.897 Å
α = 90.00°, β = 90.00°, γ = 90.00°
Space group P4/mbm (No. 127)
Unique sites:
In (0.000, 0.000, 0.000)
B (0.110, 0.390, 0.000)
Ru (0.157, 0.657, 0.500)

Properties
Calculated density   9.54 g/cm3
Spin magnetization   0.00 μB/f.u.
Final energy   -6.81 eV per atom
V   117.84 Å³/cell